A geometry-optimized Nd5Ir4 structure, computed with PBE.

Values from the calculation:
- Calculated volume: 447 Å³ per cell
- Calculated formation energy: -0.584 eV/atom
- Calculated total energy: -7.171 eV per atom
- Fermi-level density of states: 0.553 states/eV per atom

Cell: 11.040 4.267 10.206 Å, 90.00 111.69 90.00°
Space group C2/m (No. 12)
Unique sites:
Nd  0.000  0.000  0.000
Nd  0.110  0.000  0.397
Nd  0.240  0.000  0.818
Ir  0.042  0.500  0.837
Ir  0.116  0.500  0.614